Record 1
## Pu2AlVO6 (GGA+U)

Data for a relaxed Pu2AlVO6 crystal.

Unit cell a=5.4678 b=5.4678 c=5.4678 alpha=59.25 beta=59.25 gamma=59.25
Sites, in units of the cell vectors:
Pu: 0.2445 0.2445 0.2445
Pu: 0.7555 0.7555 0.7555
Al: 0.5000 0.5000 0.5000
V: 0.0000 0.0000 0.0000
O: 0.2505 0.7433 0.7433
O: 0.2567 0.2567 0.7495
O: 0.2567 0.7495 0.2567
O: 0.7433 0.2505 0.7433
O: 0.7433 0.7433 0.2505
O: 0.7495 0.2567 0.2567

Record 2
## PuAlWO6 (GGA+U)

Data for a relaxed PuAlWO6 crystal.

Unit cell a=5.1042 b=5.1042 c=10.0222 alpha=90.00 beta=90.00 gamma=120.00
Sites, in units of the cell vectors:
Pu: 0.0000 0.0000 0.0000
Pu: 0.0000 0.0000 0.5000
Al: 0.3333 0.6667 0.2500
Al: 0.6667 0.3333 0.7500
W: 0.3333 0.6667 0.7500
W: 0.6667 0.3333 0.2500
O: 0.0055 0.3690 0.1433
O: 0.0055 0.6365 0.3567
O: 0.3635 0.3690 0.3567
O: 0.3635 0.9945 0.1433
O: 0.3690 0.0055 0.6433
O: 0.3690 0.3635 0.8567
O: 0.6310 0.6365 0.1433
O: 0.6310 0.9945 0.3567
O: 0.6365 0.0055 0.8567
O: 0.6365 0.6310 0.6433
O: 0.9945 0.3635 0.6433
O: 0.9945 0.6310 0.8567

Uncorrected energy for every record listed, in sequence, given in eV per atom: -9.61, -8.70.
Calculated volume for every record listed, in sequence, given in Å³/f.u.: 113.61, 113.06.